Here is crystalline LiAlGe2O6 at its relaxed geometry from the Alexandria database. Energies are from GGA-PBE.

Properties
- ΔE_f (raw) (eV per atom) = -2.086
- DOS at the Fermi energy (states/eV/f.u.) = 0.0
- symmetry = P2_1/c (14)
- excess energy over the best structure of this formula in the dataset (meV/atom) = 10.9
- calculated total energy (eV/atom) = -6.55

a = 5.448 Å, b = 8.456 Å, c = 9.627 Å
α = 90.00°, β = 100.76°, γ = 90.00°
Fractional positions:
1 Li 0.204 0.215 0.009
2 Li 0.204 0.285 0.509
3 Li 0.796 0.715 0.491
4 Li 0.796 0.785 0.991
5 Al 0.250 0.587 0.005
6 Al 0.250 0.913 0.505
7 Al 0.750 0.087 0.495
8 Al 0.750 0.413 0.995
9 Ge 0.072 0.585 0.289
10 Ge 0.072 0.915 0.789
11 Ge 0.445 0.613 0.722
12 Ge 0.445 0.887 0.222
13 Ge 0.555 0.113 0.778
14 Ge 0.555 0.387 0.278
15 Ge 0.928 0.085 0.211
16 Ge 0.928 0.415 0.711
17 O 0.045 0.073 0.398
18 O 0.045 0.427 0.898
19 O 0.092 0.745 0.892
20 O 0.092 0.755 0.392
21 O 0.200 0.012 0.143
22 O 0.200 0.488 0.643
23 O 0.289 0.071 0.855
24 O 0.289 0.429 0.355
25 O 0.376 0.688 0.177
26 O 0.376 0.812 0.677
27 O 0.464 0.099 0.589
28 O 0.464 0.401 0.089
29 O 0.536 0.599 0.911
30 O 0.536 0.901 0.411
31 O 0.624 0.188 0.323
32 O 0.624 0.312 0.823
33 O 0.711 0.571 0.645
34 O 0.711 0.929 0.145
35 O 0.800 0.512 0.357
36 O 0.800 0.988 0.857
37 O 0.908 0.245 0.608
38 O 0.908 0.255 0.108
39 O 0.955 0.573 0.102
40 O 0.955 0.927 0.602

***

Here is crystalline PrPaH2 at its relaxed geometry from the Alexandria database. Energies are from GGA-PBE.

Properties
- DOS at the Fermi energy (states/eV/f.u.) = 3.7
- symmetry = R-3m (166)
- calculated total energy (eV/atom) = -5.43

a = 6.338 Å, b = 6.338 Å, c = 6.338 Å
α = 32.01°, β = 32.01°, γ = 32.01°
Fractional positions:
1 Pr 0.000 0.000 0.000
2 Pa 0.500 0.500 0.500
3 H 0.244 0.244 0.244
4 H 0.756 0.756 0.756

***

What is the formula in the first record? LiAlGe2O6